# 1
Here is ThZnSnRh after structural relaxation from the Alexandria database. Energies are from PBE.

abc: 6.943 6.943 6.943
angles: 90.00 90.00 90.00
Space group F-43m (No. 216)
Inequivalent atoms, fractional coordinates:
Th: 0.000 0.000 0.000
Zn: 0.250 0.250 0.250
Sn: 0.000 0.000 0.500
Rh: 0.250 0.250 0.750

Summary:
Total energy, eV per atom: -5.5425
Spin magnetization, μB per formula unit: 0.00

# 2
Here is LiNi2AuN after structural relaxation from the Alexandria database. Energies are from PBE.

abc: 4.248 4.248 3.366
angles: 90.00 90.00 90.00
Space group P4/mmm (No. 123)
Inequivalent atoms, fractional coordinates:
Li: 0.000 0.000 0.000
Ni: 0.000 0.500 0.000
Au: 0.500 0.500 0.500
N: 0.000 0.000 0.500

Summary:
Total energy, eV per atom: -3.9462
Relative energy among the computed polymorphs, meV/atom: 1276.2
Raw formation energy, meV/atom: 1070
Spin magnetization, μB per formula unit: 1.44

# 3
Here is La2FeHgTe after structural relaxation from the Alexandria database. Energies are from PBE.

abc: 5.199 5.199 5.037
angles: 90.00 90.00 90.00
Space group P4/mmm (No. 123)
Inequivalent atoms, fractional coordinates:
La: 0.000 0.500 0.000
Fe: 0.000 0.000 0.000
Hg: 0.000 0.000 0.500
Te: 0.500 0.500 0.500

Summary:
Total energy, eV per atom: -4.9093
Raw formation energy, meV/atom: -557
Spin magnetization, μB per formula unit: 0.09

# 4
Here is BTe2RuI after structural relaxation from the Alexandria database. Energies are from PBE.

abc: 5.108 5.108 5.738
angles: 90.00 90.00 90.00
Space group P4/mmm (No. 123)
Inequivalent atoms, fractional coordinates:
B: 0.000 0.000 0.000
Te: 0.000 0.500 0.500
Ru: 0.500 0.500 0.500
I: 0.500 0.500 0.000

Summary:
Total energy, eV per atom: -3.4665
Relative energy among the computed polymorphs, meV/atom: 0.0
Raw formation energy, meV/atom: 1291
Spin magnetization, μB per formula unit: 0.00